(1)
DFT (GGA-PBE) results for a relaxed structure of PrNd4Zn.

Values from the calculation:
The excess energy over the best structure of this formula in the dataset comes out at 0.000 eV/atom. For the total magnetization, the calculation gives 0.00 μB/f.u. The formation energy is -0.096 eV/atom. For the electronic total energy, the calculation gives -4.2835 eV per atom. The calculation puts the density of states at the Fermi level at 7.2 states/eV/f.u.

Lattice parameters (Å, degrees): 3.6929 3.6929 14.1134 90.00 90.00 90.00
Fractional positions:
1 Pr 0.0000 0.0000 0.0000
2 Nd 0.0000 0.0000 0.3710
3 Nd 0.0000 0.0000 0.6290
4 Nd 0.5000 0.5000 0.1850
5 Nd 0.5000 0.5000 0.8150
6 Zn 0.5000 0.5000 0.5000



(2)
DFT (GGA-PBE) results for a relaxed structure of LiLu2Cd.

Values from the calculation:
The excess energy over the best structure of this formula in the dataset comes out at 0.000 eV/atom. For the total magnetization, the calculation gives 0.00 μB/f.u. The formation energy is -0.106 eV/atom. For the electronic total energy, the calculation gives -3.0736 eV per atom. The calculation puts the density of states at the Fermi level at 3.0 states/eV/f.u.

Lattice parameters (Å, degrees): 5.1240 5.1240 3.6954 90.00 90.00 90.00
Fractional positions:
1 Li 0.0000 0.0000 0.0000
2 Lu 0.0000 0.5000 0.5000
3 Lu 0.5000 0.0000 0.5000
4 Cd 0.5000 0.5000 0.0000